PBE PmNpOs2, relaxed; formation enthalpy at 0 K = 8.32 kJ per mole of atoms; SG = P4/mmm (123); DOS(E_F) = 4.7 states/eV/f.u.
1.0
3.332 0.000 0.000
0.000 3.332 0.000
0.000 0.000 7.332
Pm Np Os
1 1 2
direct
0.000 0.000 0.000
0.000 0.000 0.500
0.500 0.500 0.287
0.500 0.500 0.713

PBE Cd2PAu, relaxed; formation enthalpy at 0 K = -0.59 kJ per mole of atoms; SG = C2 (5); DOS(E_F) = 1.1 states/eV/f.u.
1.0
3.597 -2.686 0.000
3.597 2.686 0.000
-0.634 0.000 4.659
Cd P Au
2 1 1
direct
0.146 0.146 0.251
0.854 0.854 0.749
0.385 0.615 0.500
0.549 0.451 0.000

PBE TbLuCo2, relaxed; formation enthalpy at 0 K = -17.84 kJ per mole of atoms; SG = Fm-3m (225); DOS(E_F) = 1.1 states/eV/f.u.
1.0
0.000 3.305 3.305
3.305 0.000 3.305
3.305 3.305 0.000
Tb Lu Co
1 1 2
direct
0.000 0.000 0.000
0.500 0.500 0.500
0.250 0.250 0.250
0.750 0.750 0.750

PBE Np2Be3ZnSi4, relaxed; SG = P-4m2 (115); energy relative to the elements, uncorrected = -163 meV/atom; DOS(E_F) = 10.7 states/eV/f.u.
1.0
3.925 0.000 0.000
0.000 3.925 0.000
0.000 0.000 9.646
Np Be Zn Si
2 3 1 4
direct
0.000 0.500 0.237
0.500 0.000 0.763
0.000 0.500 0.876
0.500 0.000 0.124
0.500 0.500 0.500
0.000 0.000 0.500
0.000 0.000 0.000
0.000 0.500 0.647
0.500 0.000 0.353
0.500 0.500 0.000

PBE KRhSe2, relaxed; SG = Cmmm (65); energy relative to the elements, uncorrected = 38 meV/atom; DOS(E_F) = 4.6 states/eV/f.u.
1.0
3.687 -3.692 0.000
3.687 3.692 0.000
0.000 0.000 2.994
K Rh Se
1 1 2
direct
0.000 0.000 0.000
0.500 0.500 0.000
0.000 0.500 0.500
0.500 0.000 0.500

PBE TlCoW, relaxed; formation enthalpy at 0 K = 85.20 kJ per mole of atoms; SG = P3m1 (156); DOS(E_F) = 2.5 states/eV/f.u.
1.0
4.396 0.000 0.000
-2.198 3.807 0.000
0.000 0.000 2.933
Tl Co W
1 1 1
direct
0.000 0.000 0.000
0.333 0.667 0.747
0.667 0.333 0.486

PBE Nd2BHPt6, relaxed; SG = C2/m (12); DOS(E_F) = 2.7 states/eV/f.u.
1.0
5.073 -2.933 0.000
5.073 2.933 0.000
-3.388 0.000 5.446
Nd B H Pt
2 1 1 6
direct
0.237 0.237 0.208
0.763 0.763 0.792
0.500 0.500 0.000
0.000 0.000 0.500
0.243 0.243 0.720
0.243 0.734 0.722
0.266 0.757 0.278
0.734 0.243 0.722
0.757 0.266 0.278
0.757 0.757 0.280

PBE Sc2Br, relaxed; SG = I4/mcm (140); energy relative to the elements, uncorrected = -494 meV/atom; DOS(E_F) = 1.7 states/eV/f.u.
1.0
-3.297 3.297 3.029
3.297 -3.297 3.029
3.297 3.297 -3.029
Sc Br
4 2
direct
0.154 0.654 0.807
0.346 0.154 0.500
0.654 0.846 0.500
0.846 0.346 0.193
0.250 0.250 0.000
0.750 0.750 0.000

PBE SbH2Au, relaxed; SG = I-42d (122); DOS(E_F) = 1.6 states/eV/f.u.
1.0
-2.733 2.733 3.915
2.733 -2.733 3.915
2.733 2.733 -3.915
Sb H Au
2 4 2
direct
0.000 0.000 0.000
0.750 0.250 0.500
0.273 0.625 0.148
0.375 0.523 0.648
0.477 0.125 0.852
0.875 0.727 0.352
0.250 0.750 0.500
0.500 0.500 0.000

PBE MgScBr2, relaxed; SG = P4/mmm (123); energy relative to the elements, uncorrected = -815 meV/atom; DOS(E_F) = 1.6 states/eV/f.u.
1.0
3.374 0.000 0.000
0.000 3.374 0.000
0.000 0.000 9.805
Mg Sc Br
1 1 2
direct
0.000 0.000 0.000
0.000 0.000 0.500
0.500 0.500 0.332
0.500 0.500 0.668

PBE HgPt2Br, relaxed; SG = I-4m2 (119); energy relative to the elements, uncorrected = 523 meV/atom; DOS(E_F) = 2.5 states/eV/f.u.
1.0
-1.976 1.976 4.881
1.976 -1.976 4.881
1.976 1.976 -4.881
Hg Pt Br
1 2 1
direct
0.000 0.000 0.000
0.250 0.750 0.500
0.500 0.500 0.000
0.750 0.250 0.500

PBE DyYEr, relaxed; formation enthalpy at 0 K = 2.24 kJ per mole of atoms; SG = Cmcm (63); DOS(E_F) = 4.1 states/eV/f.u.
1.0
2.503 -7.514 0.000
2.503 7.514 0.000
0.000 0.000 5.003
Dy Y Er
2 2 2
direct
0.084 0.916 0.750
0.916 0.084 0.250
0.416 0.584 0.750
0.584 0.416 0.250
0.250 0.750 0.250
0.750 0.250 0.750

Number 1: total energy -9.951 eV/atom. Number 2: total energy -2.636 eV/atom. Number 3: total energy -6.026 eV/atom. Number 4: total energy -6.166 eV/atom. Number 5: total energy -3.817 eV/atom. Number 6: total energy -6.592 eV/atom. Number 7: total energy -6.284 eV/atom. Number 8: total energy -5.273 eV/atom. Number 9: total energy -3.089 eV/atom. Number 10: total energy -3.633 eV/atom. Number 11: total energy -2.991 eV/atom. Number 12: total energy -5.187 eV/atom.